No. 1
Computed, not measured: a geometry-optimized NaHo2Tc structure at the PBE level of DFT.

Cell: 3.451 3.451 9.086 Å, 90.00 90.00 90.00°
Space group P4/mmm (No. 123)
Inequivalent atoms, fractional coordinates:
1 Na 0.000 0.000 0.000
2 Ho 0.500 0.500 0.323
3 Tc 0.000 0.000 0.500

Energy relative to the lowest polymorph listed for this composition: 0 meV/atom
Total magnetic moment: 0.00 μB per cell
ΔH_f (0 K): -0.017 eV/atom
VASP energy: -5.23 eV per atom

***

No. 2
Computed, not measured: a geometry-optimized NaHo5Te6 structure at the PBE level of DFT.

Cell: 7.530 13.035 7.580 Å, 90.00 109.40 90.00°
Space group C2/m (No. 12)
Inequivalent atoms, fractional coordinates:
1 Na 0.000 0.000 0.000
2 Ho 0.000 0.163 0.500
3 Ho 0.000 0.335 0.000
4 Ho 0.000 0.500 0.500
5 Te 0.249 0.332 0.748
6 Te 0.249 0.500 0.246

Total magnetic moment: 0.00 μB per cell
Energy relative to the elements, uncorrected: -1.27 eV/atom
VASP energy: -4.86 eV per atom